Entry 1:
Entry from Alexandria: a relaxed structure of Sc12HS5 (PBE).

Summary:
Density of states at the Fermi level, states/eV/f.u.: 18.610
Electronic total energy, eV per atom: -6.572

Cell lengths 5.8865, 10.8612, 11.3219 Å; angles 90.00, 90.79, 90.00 degrees
Closest atoms and distances in Å follow each position.
Space group C2/m (No. 12)
Asymmetric unit:
Sc1 0.1537 0.1648 0.3693 x8  1 H 2.50, 2 S 2.50-2.55
Sc2 0.1613 0.3339 0.1359 x8  3 S 2.54-2.55
Sc3 0.1618 0.0000 0.1353 x4  3 S 2.53-2.55
Sc4 0.1758 0.5000 0.3741 x4  1 H 2.37, 2 S 2.52
H1 0.0000 0.0000 0.5000 x2  6 Sc 2.37-2.50
S1 0.0000 0.1668 0.0000 x4  6 Sc 2.54-2.55
S2 0.0000 0.3355 0.5000 x4  6 Sc 2.50-2.55
S3 0.0000 0.5000 0.0000 x2  6 Sc 2.53-2.55

---

Entry 2:
Entry from Alexandria: a relaxed structure of PmSm2N (PBE).

Summary:
Formation energy (no corrections), meV/atom: -609
Density of states at the Fermi level, states/eV/f.u.: 4.012

Cell lengths 3.5429, 3.5429, 29.2284 Å; angles 90.00, 90.00, 120.00 degrees
Closest atoms and distances in Å follow each position.
Space group R-3m (No. 166, hexagonal axes)
Asymmetric unit:
Pm1 0.0000 0.0000 0.0000 x3  2 Sm 3.51, 6 Pm 3.54
Sm1 0.0000 0.0000 0.1202 x6  3 N 2.46
N1 0.0000 0.0000 0.5000 x3  6 Sm 2.46

---

Entry 3:
Entry from Alexandria: a relaxed structure of BaHo2AgSe4 (PBE).

Summary:
Formation energy (no corrections), meV/atom: -1539
Density of states at the Fermi level, states/eV/f.u.: 1.724

Cell lengths 4.2672, 13.9906, 14.4516 Å; angles 90.00, 90.00, 90.00 degrees
Closest atoms and distances in Å follow each position.
Space group Cmcm (No. 63)
Asymmetric unit:
Ba1 0.0000 0.1303 0.2500 x4  6 Se 3.23-3.31
Ho1 0.0000 0.3768 0.0600 x8  6 Se 2.87-3.00
Ag1 0.0000 0.1475 0.7500 x4  4 Se 2.59-2.65
Se1 0.0000 0.0000 0.0000 x4  4 Ho 2.88
Se2 0.0000 0.2656 0.6067 x8  1 Ag 2.65, 1 Ho 2.87
Se3 0.0000 0.4570 0.2500 x4  2 Ag 2.59

---

Entry 4:
Entry from Alexandria: a relaxed structure of CsInHgSe (PBE).

Summary:
Formation energy (no corrections), meV/atom: -382

Cell lengths 8.2321, 8.2321, 8.2321 Å; angles 90.00, 90.00, 90.00 degrees
Closest atoms and distances in Å follow each position.
Space group F-43m (No. 216)
Asymmetric unit:
Cs1 0.0000 0.0000 0.0000 x4  4 Hg 3.56, 4 Se 3.56
In1 0.0000 0.0000 0.5000 x4  4 Se 3.56, 4 Hg 3.56
Hg1 0.2500 0.2500 0.2500 x4  4 In 3.56, 4 Cs 3.56
Se1 0.2500 0.2500 0.7500 x4  4 In 3.56, 4 Cs 3.56

---

Entry 5:
Entry from Alexandria: a relaxed structure of AcNdSm4Er2 (PBE).

Summary:
Density of states at the Fermi level, states/eV/f.u.: 12.392
Energy of formation, kcal/mol of atoms: 0.9

Cell lengths 11.5468, 5.1552, 10.3689 Å; angles 90.00, 116.73, 90.00 degrees
Closest atoms and distances in Å follow each position.
Space group C2/m (No. 12)
Asymmetric unit:
Ac1 0.0000 0.0000 0.0000 x2  8 Sm 3.66-3.68, 4 Er 3.70
Nd1 0.0000 0.0000 0.5000 x2  8 Sm 3.61-3.65, 4 Er 3.62
Sm1 0.2479 0.0000 0.8706 x4  1 Nd 3.61, 4 Er 3.63-3.73, 4 Sm 3.65-3.71, 3 Ac 3.66-3.67
Sm2 0.2488 0.5000 0.6221 x4  4 Er 3.59-3.66, 4 Sm 3.62-3.65, 3 Nd 3.64-3.65, 1 Ac 3.68
Er1 0.0006 0.5000 0.7449 x4  8 Sm 3.59-3.73, 2 Nd 3.62, 2 Ac 3.70

---

Entry 6:
Entry from Alexandria: a relaxed structure of PmSm8Ho3 (PBE).

Summary:
Density of states at the Fermi level, states/eV/f.u.: 18.466
Energy of formation, kcal/mol of atoms: 14.0

Cell lengths 8.7242, 8.7242, 11.4957 Å; angles 90.00, 90.00, 90.00 degrees
Closest atoms and distances in Å follow each position.
Space group I-42m (No. 121)
Asymmetric unit:
Pm1 0.0000 0.0000 0.0000 x2  8 Sm 3.12-3.28
Sm1 0.1249 0.1249 0.2523 x8  3 Sm 3.08-3.29, 3 Ho 3.24-3.45, 1 Pm 3.28
Sm2 0.2471 0.2471 0.5069 x8  1 Ho 3.05, 1 Pm 3.12, 2 Sm 3.23-3.29
Ho1 0.0000 0.0000 0.5000 x2  8 Sm 3.05-3.24
Ho2 0.0000 0.5000 0.2500 x4  4 Sm 3.45

---

Entry 7:
Entry from Alexandria: a relaxed structure of Be2ReSb (PBE).

Summary:
Formation energy (no corrections), meV/atom: 338
Density of states at the Fermi level, states/eV/f.u.: 0.933

Cell lengths 3.2469, 3.2469, 5.2753 Å; angles 90.00, 90.00, 90.00 degrees
Closest atoms and distances in Å follow each position.
Space group P4mm (No. 99)
Asymmetric unit:
Be1 0.0000 0.0000 0.0000 x1  1 Re 2.26, 4 Be 2.53
Be2 0.5000 0.5000 0.2003 x1  4 Be 2.53, 2 Sb 2.56-2.72, 4 Re 2.59
Re1 0.0000 0.0000 0.4278 x1  1 Be 2.26
Sb1 0.5000 0.5000 0.7153 x1  6 Be 2.56-2.74, 4 Re 2.75

---

Entry 8:
Entry from Alexandria: a relaxed structure of Pm2VP (PBE).

Summary:
Density of states at the Fermi level, states/eV/f.u.: 2.656
Energy of formation, kcal/mol of atoms: -5.4

Cell lengths 4.9071, 4.9071, 3.8129 Å; angles 90.00, 90.00, 90.00 degrees
Closest atoms and distances in Å follow each position.
Space group P4/mmm (No. 123)
Asymmetric unit:
Pm1 0.0000 0.5000 0.0000 x2  4 V 3.11, 4 P 3.11, 4 Pm 3.47
V1 0.0000 0.0000 0.5000 x1  8 Pm 3.11, 4 P 3.47
P1 0.5000 0.5000 0.5000 x1  8 Pm 3.11, 4 V 3.47

---

Entry 9:
Entry from Alexandria: a relaxed structure of CaTlBRu2 (PBE).

Summary:
Density of states at the Fermi level, states/eV/f.u.: 3.747
Energy of formation, kcal/mol of atoms: 3.9

Cell lengths 4.2357, 4.2357, 4.7386 Å; angles 90.00, 90.00, 90.00 degrees
Closest atoms and distances in Å follow each position.
Space group P4/mmm (No. 123)
Asymmetric unit:
Ca1 0.0000 0.0000 0.0000 x1  2 B 2.37
Tl1 0.5000 0.5000 0.0000 x1  4 Ca 3.00, 8 Ru 3.18
B1 0.0000 0.0000 0.5000 x1  4 Ru 2.12, 2 Ca 2.37
Ru1 0.0000 0.5000 0.5000 x2  2 B 2.12

---

Entry 10:
Entry from Alexandria: a relaxed structure of CaNi2Rh2 (PBE).

Summary:
Density of states at the Fermi level, states/eV/f.u.: 6.378
Energy of formation, kcal/mol of atoms: -0.6
Relative energy among the computed polymorphs, meV/atom: 0

Cell lengths 7.3781, 7.3781, 2.7574 Å; angles 90.00, 90.00, 90.00 degrees
Closest atoms and distances in Å follow each position.
Space group P4/mbm (No. 127)
Asymmetric unit:
Ca1 0.0000 0.0000 0.0000 x2  2 Ca 2.76, 4 Ni 2.94, 8 Rh 3.05
Ni1 0.1191 0.3809 0.0000 x4  3 Ni 2.49-2.76, 6 Rh 2.54-2.61
Rh1 0.1760 0.6760 0.5000 x4  6 Ni 2.54-2.61, 2 Rh 2.76

---

Entry 11:
Entry from Alexandria: a relaxed structure of Ga3CoP (PBE).

Summary:
Density of states at the Fermi level, states/eV/f.u.: 4.043
Energy of formation, kcal/mol of atoms: 6.2
Relative energy among the computed polymorphs, meV/atom: 0

Cell lengths 4.5297, 4.5297, 4.5297 Å; angles 90.00, 90.00, 90.00 degrees
Closest atoms and distances in Å follow each position.
Space group Pm-3m (No. 221)
Asymmetric unit:
Ga1 0.0000 0.0000 0.5000 x3  2 Co 2.26
Co1 0.0000 0.0000 0.0000 x1  6 Ga 2.26
P1 0.5000 0.5000 0.5000 x1  12 Ga 3.20

---

Entry 12:
Entry from Alexandria: a relaxed structure of Be2InW (PBE).

Summary:
Density of states at the Fermi level, states/eV/f.u.: 2.164
Energy of formation, kcal/mol of atoms: 10.1

Cell lengths 2.8637, 3.8642, 5.1473 Å; angles 90.00, 105.77, 90.00 degrees
Closest atoms and distances in Å follow each position.
Space group Pm (No. 6)
Asymmetric unit:
Be1 0.0000 0.0000 0.0000 x1  2 Be 2.30, 4 W 2.55
Be2 0.1224 0.5000 0.2508 x1  2 Be 2.30, 2 W 2.53
In1 0.7418 0.0000 0.4799 x1  7 Be 2.58-2.79, 2 In 2.86
W1 0.4178 0.5000 0.8297 x1  6 Be 2.53-2.55

---

Per-record V, Å³ per cell: 723.80 317.73 862.77 557.86 551.26 874.96 55.62 91.81 85.02 150.10 92.94 54.82